Sc4TlAs | Alexandria | GGA-PBE | optimized geometry; V = 139 Å³/f.u.; magnetic moment = 0.0 Bohr magnetons per cell; SG = F-43m; E = -5.27 eV per atom; calculated formation energy = 117 meV per atom
1.0
5.006 1.554 2.520
0.642 5.378 2.119
0.219 0.853 5.749
Sc Tl As
4 1 1
Direct
0.375 0.875 0.375
0.875 0.375 0.375
0.375 0.375 0.875
0.375 0.375 0.375
0.750 0.750 0.750
0.000 0.000 0.000